This record from the Alexandria database describes an optimized crystal structure of ScTa2Tc. The functional is PBE.

abc: 2.909 4.518 5.539
angles: 90.00 101.66 90.00
Space group Pm (No. 6)
Asymmetric unit:
Sc (0.000, 0.000, 0.000) [1 per cell]
Ta (0.405, 0.000, 0.521) [1 per cell]
Ta (0.694, 0.500, 0.264) [1 per cell]
Tc (0.211, 0.500, 0.749) [1 per cell]

Output
Energy relative to the elements ... -0.02 eV per atom
ρ ... 11.8 g cm⁻³